Compound: HoPuMn2O8
Source: Alexandria via LeMat-Bulk
Functional: PBE+U
Structure: relaxed

Lattice parameters (Å, degrees): 5.944 5.944 5.944 108.34 108.34 111.75
Fractional positions:
Ho  0.000  0.000  0.000
Pu  0.250  0.750  0.500
Mn  0.750  0.250  0.500
Mn  0.500  0.500  0.000
O  0.396  0.079  0.317
O  0.291  0.497  0.206
O  0.291  0.085  0.794
O  0.762  0.079  0.683
O  0.915  0.709  0.206
O  0.921  0.238  0.317
O  0.921  0.604  0.683
O  0.503  0.709  0.794

Properties
Crystal system: tetragonal
E_tot, eV/cell: -98.70
Calculated density, g/cm³: 6.7
Space group: I-4m2 (119)
Magnetic moment, μB per atom: 0.750